(1)
# YZrTa2

Crystalline YZrTa2 at its relaxed geometry (PBE, the Alexandria database).

Summary:
* energy relative to the elements: 0.351 eV per atom
* total moment: 0.00 μB per cell
* space-group type: Cmmm, No. 65
* Fermi-level density of states: 1.363 states/eV per atom

The structure in POSCAR format:
```
YZrTa2
1.0
1.764 -2.421 0.000
1.764 2.421 0.000
0.000 0.000 10.109
Y Zr Ta
1 1 2
Cartesian
0.000 0.000 0.000 Y
0.000 0.000 5.054 Zr
1.764 0.000 2.678 Ta
1.764 0.000 7.430 Ta
```

(2)
# YZrTa2

Crystalline YZrTa2 at its relaxed geometry (PBE, the Alexandria database).

Summary:
* energy relative to the elements: 0.468 eV per atom
* total moment: 0.00 μB per cell
* space-group type: P4/mmm, No. 123
* Fermi-level density of states: 1.485 states/eV per atom

The structure in POSCAR format:
```
YZrTa2
1.0
5.367 0.000 0.000
0.000 5.367 0.000
0.000 0.000 3.028
Y Zr Ta
1 1 2
Cartesian
0.000 0.000 0.000 Y
2.684 2.684 0.000 Zr
0.000 2.684 1.514 Ta
2.684 0.000 1.514 Ta
```

- Which value of energy relative to the elements does entry 1 give?
  0.351 eV per atom